{"formula": "TaNb2Mo6", "functional": "PBE", "state": "relaxed", "sg": "No. 12", "magnetic_moment_mub_per_fu": 0.00, "ef_mev_per_atom": 231.9, "lattice_angstrom": [[4.658, 0.000, -0.771], [0.000, 8.524, 0.000], [-3.020, -4.262, 4.348]], "species": ["Nb", "Mo", "Ta", "Mo", "Nb", "Mo", "Mo", "Mo", "Mo"], "frac_coords": [[0.666, 0.666, 0.331], [0.168, 0.838, 0.333], [0.000, 0.000, 0.000], [0.832, 0.162, 0.667], [0.334, 0.334, 0.669], [0.168, 0.495, 0.333], [0.832, 0.505, 0.667], [0.500, 0.829, 0.000], [0.500, 0.171, 0.000]]}